# 1
# ScCo2P

A relaxed structure of ScCo2P (GGA-PBE, Alexandria).

```
data_ScCo2P
_cell_length_a 3.4948
_cell_length_b 3.8907
_cell_length_c 4.2432
_cell_angle_alpha 90.00
_cell_angle_beta 108.75
_cell_angle_gamma 90.00
_symmetry_space_group_name_H-M 'P 1 m 1'
_symmetry_Int_Tables_number 6
_symmetry_space_group_name_Hall 'P -2y'
loop_
_atom_site_label
_atom_site_type_symbol
_atom_site_fract_x
_atom_site_fract_y
_atom_site_fract_z
Sc1 Sc 0.0000 0.0000 0.0000
Co1 Co 0.3627 0.0000 0.5472
Co2 Co 0.7917 0.5000 0.4251
P1 P 0.4386 0.5000 0.7902
```

Formation energy   -0.50 eV/atom

***

# 2
# Sc2CoP

A relaxed structure of Sc2CoP (GGA-PBE, Alexandria).

```
data_Sc2CoP
_cell_length_a 3.7831
_cell_length_b 3.5960
_cell_length_c 9.7386
_cell_angle_alpha 90.00
_cell_angle_beta 90.00
_cell_angle_gamma 90.00
_symmetry_space_group_name_H-M 'A m m 2'
_symmetry_Int_Tables_number 38
_symmetry_space_group_name_Hall 'A 2 -2'
loop_
_atom_site_label
_atom_site_type_symbol
_atom_site_fract_x
_atom_site_fract_y
_atom_site_fract_z
Sc1 Sc 0.0000 0.0000 0.0000
Sc2 Sc 0.5000 0.0000 0.2829
Co1 Co 0.5000 0.0000 0.5691
P1 P 0.0000 0.0000 0.7122
```

Formation energy   -0.93 eV/atom